Here is an optimized crystal structure of K3NaNi2F9 from Alexandria via LeMat-Bulk. Energies are from GGA+U.

Unit cell a=5.810 b=5.810 c=7.187 alpha=90.00 beta=90.00 gamma=120.00
Site moments in Bohr magnetons follow the coordinates.
Sites, in units of the cell vectors:
F 0.176 0.824 0.311  -0.02
K 0.000 0.000 0.000  0.00
F 0.500 0.000 0.000  -0.04
F 0.353 0.176 0.689  -0.02
F 0.647 0.824 0.311  -0.02
Ni 0.667 0.333 0.842  1.61
F 0.500 0.500 0.000  -0.04
K 0.333 0.667 0.654  0.00
Na 0.000 0.000 0.500  0.00
F 0.824 0.176 0.689  -0.02
Ni 0.333 0.667 0.158  1.61
K 0.667 0.333 0.346  0.00
F 0.176 0.353 0.311  -0.02
F 0.824 0.647 0.689  -0.02
F 0.000 0.500 0.000  -0.04

Computed properties:
The total moment comes out at 3.00 μB per formula unit. Its total energy is -4.204 eV per atom. For the theoretical density, the calculation gives 3.39 Mg/m³. Its density of states at the Fermi level is 0.196 states/eV per atom. As for the space-group type: P-3m1 (164).